1.
First-principles (GGA-PBE) data for a relaxed Fe3Ni2Pd crystal, as listed in Alexandria via LeMat-Bulk.

Cell lengths 3.6906, 3.6484, 5.7271 Å; angles 108.57, 90.00, 90.00 degrees
Last column: magnetic moment on the atom in μB.
Atoms (fractional coordinates):
Fe 0.5000 0.1723 0.3447  2.70
Fe 0.5000 0.8277 0.6553  2.70
Fe 0.5000 0.5000 0.0000  2.84
Pd 0.0000 0.0000 0.0000  0.31
Ni 0.0000 0.6708 0.3417  0.69
Ni 0.0000 0.3292 0.6583  0.69

## Properties
VASP energy	-7.07	eV per atom
Fermi-level density of states	3.7	states/eV/f.u.
calculated formation energy	-0.04	eV/atom

***

2.
First-principles (GGA-PBE) data for a relaxed NbPd2W crystal, as listed in Alexandria via LeMat-Bulk.

Cell lengths 4.5291, 4.5291, 4.5291 Å; angles 60.00, 60.00, 60.00 degrees
Atoms (fractional coordinates):
Nb 0.0000 0.0000 0.0000
Pd 0.7500 0.7500 0.7500
Pd 0.2500 0.2500 0.2500
W 0.5000 0.5000 0.5000

## Properties
VASP energy	-8.06	eV per atom
Fermi-level density of states	7.7	states/eV/f.u.
calculated formation energy	0.29	eV/atom
relative energy among the computed polymorphs	6.33	kcal/mol of atoms

***

3.
First-principles (GGA-PBE) data for a relaxed TcNiAu2 crystal, as listed in Alexandria via LeMat-Bulk.

Cell lengths 4.8149, 4.8149, 4.9616 Å; angles 81.45, 81.45, 32.93 degrees
Last column: magnetic moment on the atom in μB.
Atoms (fractional coordinates):
Ni 0.2500 0.2500 0.2500  0.18
Au 0.9985 0.9985 0.0034  0.02
Au 0.5015 0.5015 0.4966  0.02
Tc 0.7500 0.7500 0.7500  0.25

## Properties
VASP energy	-5.32	eV per atom
Fermi-level density of states	4.0	states/eV/f.u.
calculated formation energy	0.35	eV/atom
relative energy among the computed polymorphs	5.24	kcal/mol of atoms

***

4.
First-principles (GGA-PBE) data for a relaxed SnMoRu2Se crystal, as listed in Alexandria via LeMat-Bulk.

Cell lengths 4.7317, 5.3478, 4.7317 Å; angles 90.00, 90.00, 90.00 degrees
Last column: magnetic moment on the atom in μB.
Atoms (fractional coordinates):
Sn 0.0000 0.5000 0.0000  -0.01
Ru 0.5000 0.0000 0.0000  0.59
Ru 0.0000 0.0000 0.5000  0.72
Se 0.5000 0.5000 0.5000  0.02
Mo 0.0000 0.0000 0.0000  -0.14

## Properties
VASP energy	-6.08	eV per atom
Fermi-level density of states	5.8	states/eV/f.u.
formation energy (no corrections)	1.291	eV per atom

***

5.
First-principles (GGA-PBE) data for a relaxed LiAlGe2 crystal, as listed in Alexandria via LeMat-Bulk.

Cell lengths 4.1625, 4.1625, 5.5700 Å; angles 68.06, 68.06, 60.00 degrees
Atoms (fractional coordinates):
Ge 0.0824 0.0824 0.7528
Ge 0.2536 0.2536 0.2391
Li 0.4880 0.4880 0.5361
Al 0.6760 0.6760 0.9720

## Properties
VASP energy	-3.76	eV per atom
Fermi-level density of states	1.7	states/eV/f.u.
calculated formation energy	-0.04	eV/atom
relative energy among the computed polymorphs	0.80	kcal/mol of atoms

***

6.
First-principles (GGA-PBE) data for a relaxed ZrCuAs2 crystal, as listed in Alexandria via LeMat-Bulk.

Cell lengths 2.9963, 2.9963, 8.8565 Å; angles 90.00, 90.00, 92.47 degrees
Atoms (fractional coordinates):
As 0.0000 0.0000 0.9505
As 0.5000 0.5000 0.3340
Cu 0.0000 0.0000 0.4979
Zr 0.5000 0.5000 0.7175

## Properties
VASP energy	-5.62	eV per atom
Fermi-level density of states	2.6	states/eV/f.u.
calculated formation energy	-0.13	eV/atom

***

7.
First-principles (GGA-PBE) data for a relaxed ZrScTl2 crystal, as listed in Alexandria via LeMat-Bulk.

Cell lengths 5.4384, 5.4384, 3.2468 Å; angles 90.00, 90.00, 105.94 degrees
Last column: magnetic moment on the atom in μB.
Atoms (fractional coordinates):
Sc 0.0000 0.5000 0.5000  0.30
Zr 0.5000 0.0000 0.5000  0.14
Tl 0.0000 0.0000 0.0000  0.00
Tl 0.5000 0.5000 0.0000  0.00

## Properties
VASP energy	-5.06	eV per atom
Fermi-level density of states	2.8	states/eV/f.u.
calculated formation energy	-0.16	eV/atom

***

8.
First-principles (GGA-PBE) data for a relaxed PmAg3Ge3 crystal, as listed in Alexandria via LeMat-Bulk.

Cell lengths 7.0671, 7.0671, 7.0671 Å; angles 90.00, 90.00, 90.00 degrees
Atoms (fractional coordinates):
Ag 0.7500 0.5000 0.0000
Ag 0.0000 0.7500 0.5000
Ag 0.5000 0.0000 0.2500
Ag 0.5000 0.0000 0.7500
Ag 0.0000 0.2500 0.5000
Ag 0.2500 0.5000 0.0000
Ge 0.0000 0.5000 0.7500
Ge 0.2500 0.0000 0.5000
Ge 0.7500 0.0000 0.5000
Ge 0.5000 0.7500 0.0000
Ge 0.0000 0.5000 0.2500
Ge 0.5000 0.2500 0.0000
Pm 0.5000 0.5000 0.5000
Pm 0.0000 0.0000 0.0000

## Properties
VASP energy	-3.58	eV per atom
Fermi-level density of states	3.8	states/eV/f.u.
calculated formation energy	0.30	eV/atom

***

9.
First-principles (GGA-PBE) data for a relaxed ScNbBH2 crystal, as listed in Alexandria via LeMat-Bulk.

Cell lengths 3.6272, 4.3758, 3.6272 Å; angles 90.00, 90.00, 90.00 degrees
Atoms (fractional coordinates):
H 0.5000 0.0000 0.0000
H 0.0000 0.0000 0.5000
Sc 0.5000 0.5000 0.5000
Nb 0.0000 0.0000 0.0000
B 0.0000 0.5000 0.0000

## Properties
VASP energy	-6.05	eV per atom
Fermi-level density of states	2.1	states/eV/f.u.

***

10.
First-principles (GGA-PBE) data for a relaxed Li2Hf2Pd5 crystal, as listed in Alexandria via LeMat-Bulk.

Cell lengths 7.1692, 5.7552, 8.2986 Å; angles 110.29, 115.59, 90.00 degrees
Atoms (fractional coordinates):
Pd 0.8553 0.8762 0.1977
Pd 0.2006 0.7742 0.5000
Pd 0.5632 0.1693 0.7007
Pd 0.1447 0.6785 0.8023
Pd 0.1576 0.1785 0.8023
Pd 0.4368 0.4686 0.2993
Pd 0.8424 0.3762 0.1977
Pd 0.3625 0.9686 0.2993
Pd 0.7994 0.2742 0.5000
Pd 0.6375 0.6693 0.7007
Hf 0.1903 0.3044 0.5000
Hf 0.5000 0.5304 0.0000
Hf 0.8097 0.8044 0.5000
Hf 0.0000 0.0304 0.0000
Li 0.4731 0.9449 0.8554
Li 0.1177 0.5895 0.1446
Li 0.5269 0.0895 0.1446
Li 0.8823 0.4449 0.8554

## Properties
VASP energy	-6.02	eV per atom
Fermi-level density of states	3.7	states/eV/f.u.
calculated formation energy	-0.50	eV/atom

***

11.
First-principles (GGA-PBE) data for a relaxed NdTcPb2O6 crystal, as listed in Alexandria via LeMat-Bulk.

Cell lengths 6.1226, 6.1237, 5.8717 Å; angles 58.52, 58.55, 59.96 degrees
Last column: magnetic moment on the atom in μB.
Atoms (fractional coordinates):
Tc 0.3162 0.3162 0.0515  1.56
O 0.4642 0.6241 0.7967  0.02
O 0.1682 0.0081 0.3063  0.02
O 0.1140 0.4640 0.7981  0.02
O 0.6240 0.1139 0.7979  0.02
O 0.0083 0.5184 0.3052  0.02
O 0.5183 0.1684 0.3050  0.02
Pb 0.0858 0.0858 0.7418  0.02
Pb 0.5465 0.5466 0.3612  0.02
Nd 0.8162 0.8162 0.5515  0.03

## Properties
VASP energy	-6.96	eV per atom
Fermi-level density of states	4.0	states/eV/f.u.
formation energy (no corrections)	-1.733	eV per atom

***

12.
First-principles (GGA-PBE) data for a relaxed In2CuHgH crystal, as listed in Alexandria via LeMat-Bulk.

Cell lengths 5.5280, 5.5280, 3.2925 Å; angles 90.00, 90.00, 90.00 degrees
Atoms (fractional coordinates):
In 0.0000 0.5000 0.0000
In 0.5000 0.0000 0.0000
Cu 0.0000 0.0000 0.0000
H 0.0000 0.0000 0.5000
Hg 0.5000 0.5000 0.5000

## Properties
VASP energy	-2.47	eV per atom
Fermi-level density of states	1.8	states/eV/f.u.

***

13.
First-principles (GGA-PBE) data for a relaxed ZnClF2 crystal, as listed in Alexandria via LeMat-Bulk.

Cell lengths 3.3094, 5.4219, 8.6458 Å; angles 93.48, 86.86, 89.94 degrees
Atoms (fractional coordinates):
Zn 0.7778 0.3423 0.5505
Zn 0.2780 0.8425 0.5529
Cl 0.4393 0.4277 0.0815
Cl 0.6146 0.7617 0.0217
F 0.7939 0.6658 0.4410
F 0.2937 0.1624 0.4391
F 0.7623 0.0225 0.6643
F 0.2619 0.5191 0.6625

## Properties
VASP energy	-3.37	eV per atom
Fermi-level density of states	0.0	states/eV/f.u.
relative energy among the computed polymorphs	0.00	kcal/mol of atoms
formation energy (no corrections)	-1.655	eV per atom

***

14.
First-principles (GGA-PBE) data for a relaxed Mn2GaTcH crystal, as listed in Alexandria via LeMat-Bulk.

Cell lengths 3.6534, 3.6534, 4.1809 Å; angles 90.00, 90.00, 90.00 degrees
Last column: magnetic moment on the atom in μB.
Atoms (fractional coordinates):
Mn 0.5000 0.0000 0.0000  2.39
Mn 0.0000 0.5000 0.0000  2.39
Ga 0.0000 0.0000 0.5000  -0.04
Tc 0.5000 0.5000 0.5000  -0.28
H 0.0000 0.0000 0.0000  -0.03

## Properties
VASP energy	-6.95	eV per atom
Fermi-level density of states	2.9	states/eV/f.u.
relative energy among the computed polymorphs	2.67	kcal/mol of atoms

***

15.
First-principles (GGA-PBE) data for a relaxed Na2LiCaW crystal, as listed in Alexandria via LeMat-Bulk.

Cell lengths 5.8741, 5.8741, 5.8568 Å; angles 90.00, 90.00, 90.00 degrees
Last column: magnetic moment on the atom in μB.
Atoms (fractional coordinates):
Li 0.5000 0.5000 0.5000  -0.02
Na 0.0000 0.5000 0.0000  0.03
Na 0.5000 0.0000 0.0000  0.03
Ca 0.0000 0.0000 0.5000  0.07
W 0.0000 0.0000 0.0000  2.88

## Properties
VASP energy	-2.56	eV per atom
Fermi-level density of states	5.0	states/eV/f.u.
calculated formation energy	1.34	eV/atom

***

16.
First-principles (GGA-PBE) data for a relaxed Sm2I3O crystal, as listed in Alexandria via LeMat-Bulk.

Cell lengths 4.1446, 10.5332, 10.6434 Å; angles 73.26, 78.77, 78.65 degrees
Atoms (fractional coordinates):
O 0.4226 0.4944 0.6604
O 0.5774 0.5056 0.3396
I 0.6716 0.6632 0.9936
I 0.2120 0.1969 0.3790
I 0.0308 0.1800 0.7584
I 0.7880 0.8031 0.6210
I 0.9692 0.8200 0.2416
I 0.3284 0.3368 0.0064
Sm 0.4359 0.6657 0.4624
Sm 0.1276 0.5121 0.2328
Sm 0.8724 0.4879 0.7672
Sm 0.5641 0.3343 0.5376

## Properties
VASP energy	-5.13	eV per atom
relative energy among the computed polymorphs	0.19	kcal/mol of atoms
formation energy (no corrections)	-1.960	eV per atom

***

17.
First-principles (GGA-PBE) data for a relaxed Hf2ThV crystal, as listed in Alexandria via LeMat-Bulk.

Cell lengths 3.3448, 3.3448, 8.0237 Å; angles 90.00, 90.00, 90.00 degrees
Atoms (fractional coordinates):
Hf 0.0000 0.0000 0.1942
Hf 0.0000 0.0000 0.8058
V 0.5000 0.5000 0.0000
Th 0.5000 0.5000 0.5000

## Properties
VASP energy	-8.96	eV per atom
Fermi-level density of states	5.9	states/eV/f.u.
calculated formation energy	0.15	eV/atom
relative energy among the computed polymorphs	0.00	kcal/mol of atoms

***

18.
First-principles (GGA-PBE) data for a relaxed SrMoSe2 crystal, as listed in Alexandria via LeMat-Bulk.

Cell lengths 8.4523, 8.4523, 8.4523 Å; angles 32.41, 32.41, 32.41 degrees
Last column: magnetic moment on the atom in μB.
Atoms (fractional coordinates):
Sr 0.5000 0.5000 0.5000  0.01
Mo 0.0000 0.0000 0.0000  3.17
Se 0.8976 0.8976 0.8976  -0.06
Se 0.1024 0.1024 0.1024  -0.06

## Properties
VASP energy	-5.06	eV per atom
Fermi-level density of states	4.3	states/eV/f.u.
relative energy among the computed polymorphs	13.76	kcal/mol of atoms
formation energy (no corrections)	-0.187	eV per atom

***

19.
First-principles (GGA-PBE) data for a relaxed Zr2HgC crystal, as listed in Alexandria via LeMat-Bulk.

Cell lengths 4.6565, 4.6565, 4.6565 Å; angles 60.00, 60.00, 60.00 degrees
Atoms (fractional coordinates):
C 0.0000 0.0000 0.0000
Zr 0.7500 0.7500 0.7500
Zr 0.2500 0.2500 0.2500
Hg 0.5000 0.5000 0.5000

## Properties
VASP energy	-5.95	eV per atom
Fermi-level density of states	6.6	states/eV/f.u.
calculated formation energy	0.71	eV/atom

***

20.
First-principles (GGA-PBE) data for a relaxed MgAlOsPt crystal, as listed in Alexandria via LeMat-Bulk.

Cell lengths 4.3485, 4.3485, 4.3485 Å; angles 60.00, 60.00, 60.00 degrees
Atoms (fractional coordinates):
Al 0.0000 0.0000 0.0000
Pt 0.7500 0.7500 0.7500
Mg 0.5000 0.5000 0.5000
Os 0.2500 0.2500 0.2500

## Properties
VASP energy	-6.14	eV per atom
Fermi-level density of states	1.7	states/eV/f.u.
calculated formation energy	-0.49	eV/atom

***

21.
First-principles (GGA-PBE) data for a relaxed Mo2Pd3 crystal, as listed in Alexandria via LeMat-Bulk.

Cell lengths 2.7590, 2.7590, 10.2552 Å; angles 97.73, 97.73, 90.00 degrees
Atoms (fractional coordinates):
Pd 0.5000 0.5000 0.0000
Pd 0.3023 0.3023 0.6046
Pd 0.6977 0.6977 0.3954
Mo 0.8986 0.8986 0.7973
Mo 0.1014 0.1014 0.2027

## Properties
VASP energy	-7.49	eV per atom
Fermi-level density of states	4.9	states/eV/f.u.
calculated formation energy	-0.05	eV/atom

***

22.
First-principles (GGA-PBE) data for a relaxed MnTlPd3 crystal, as listed in Alexandria via LeMat-Bulk.

Cell lengths 4.6347, 4.6347, 4.6347 Å; angles 90.00, 90.00, 90.00 degrees
Atoms (fractional coordinates):
Tl 0.5000 0.5000 0.5000
Pd 0.0000 0.5000 0.0000
Pd 0.0000 0.0000 0.5000
Pd 0.5000 0.0000 0.0000
Mn 0.0000 0.0000 0.0000

## Properties
VASP energy	-4.69	eV per atom
Fermi-level density of states	7.0	states/eV/f.u.
calculated formation energy	0.73	eV/atom
relative energy among the computed polymorphs	18.99	kcal/mol of atoms

***

23.
First-principles (GGA-PBE) data for a relaxed CaGa3Ru3 crystal, as listed in Alexandria via LeMat-Bulk.

Cell lengths 6.7473, 6.7473, 6.7473 Å; angles 90.00, 90.00, 90.00 degrees
Last column: magnetic moment on the atom in μB.
Atoms (fractional coordinates):
Ca 0.0000 0.0000 0.0000  -0.01
Ca 0.5000 0.5000 0.5000  -0.01
Ru 0.5000 0.7500 0.0000  0.19
Ru 0.2500 0.0000 0.5000  0.19
Ru 0.7500 0.0000 0.5000  0.19
Ru 0.5000 0.2500 0.0000  0.19
Ru 0.0000 0.5000 0.2500  0.19
Ru 0.0000 0.5000 0.7500  0.19
Ga 0.0000 0.7500 0.5000  -0.01
Ga 0.0000 0.2500 0.5000  -0.01
Ga 0.5000 0.0000 0.7500  -0.01
Ga 0.2500 0.5000 0.0000  -0.01
Ga 0.5000 0.0000 0.2500  -0.01
Ga 0.7500 0.5000 0.0000  -0.01

## Properties
VASP energy	-5.25	eV per atom
Fermi-level density of states	8.2	states/eV/f.u.
calculated formation energy	0.31	eV/atom

***

24.
First-principles (GGA-PBE) data for a relaxed Li2ZrHPd crystal, as listed in Alexandria via LeMat-Bulk.

Cell lengths 3.8446, 3.8446, 4.6351 Å; angles 90.00, 90.00, 90.00 degrees
Atoms (fractional coordinates):
Zr 0.0000 0.0000 0.5000
H 0.0000 0.0000 0.0000
Li 0.5000 0.0000 0.0000
Li 0.0000 0.5000 0.0000
Pd 0.5000 0.5000 0.5000

## Properties
VASP energy	-4.52	eV per atom
Fermi-level density of states	1.9	states/eV/f.u.

***

25.
First-principles (GGA-PBE) data for a relaxed HgAsBr crystal, as listed in Alexandria via LeMat-Bulk.

Cell lengths 7.0681, 6.6043, 3.7418 Å; angles 81.08, 67.38, 31.53 degrees
Atoms (fractional coordinates):
As 0.0141 0.0141 0.9859
Br 0.3260 0.3260 0.6740
Hg 0.6599 0.6599 0.3401

## Properties
VASP energy	-1.96	eV per atom
Fermi-level density of states	1.9	states/eV/f.u.
relative energy among the computed polymorphs	11.15	kcal/mol of atoms
formation energy (no corrections)	0.252	eV per atom

***

26.
First-principles (GGA-PBE) data for a relaxed La6PrDy2 crystal, as listed in Alexandria via LeMat-Bulk.

Cell lengths 3.7066, 10.2159, 10.2159 Å; angles 55.75, 90.00, 90.00 degrees
Atoms (fractional coordinates):
La 0.0000 0.8382 0.4931
La 0.5000 0.6738 0.3262
La 0.0000 0.5069 0.1618
La 0.0000 0.1618 0.5069
La 0.0000 0.4931 0.8382
La 0.5000 0.3262 0.6738
Pr 0.0000 0.0000 0.0000
Dy 0.5000 0.8224 0.8224
Dy 0.5000 0.1776 0.1776

## Properties
VASP energy	-4.73	eV per atom
Fermi-level density of states	13.9	states/eV/f.u.
calculated formation energy	0.11	eV/atom